[1]
# PmNd2Th3S6, relaxed, DFT PBE
data_PmNd2Th3S6
_chemical_formula_sum 'Pm2 Nd4 Th6 S12'
_cell_length_a 7.007
_cell_length_b 12.032
_cell_length_c 7.059
_cell_angle_alpha 90.00
_cell_angle_beta 108.96
_cell_angle_gamma 90.00
_symmetry_space_group_name_H-M 'C 1 2/m 1'
_symmetry_Int_Tables_number 12
loop_
_symmetry_equiv_pos_as_xyz
'x,y,z'
'-x,-y,-z'
'-x,y,-z'
'x,-y,z'
'x+1/2,y+1/2,z'
'-x+1/2,-y+1/2,-z'
'-x+1/2,y+1/2,-z'
'x+1/2,-y+1/2,z'
loop_
_atom_site_label
_atom_site_type_symbol
_atom_site_fract_x
_atom_site_fract_y
_atom_site_fract_z
_atom_site_occupancy
Pm1 Pm 0.000 0.000 0.000 1
Nd1 Nd 0.000 0.334 0.000 1
Th1 Th 0.000 0.168 0.500 1
Th2 Th 0.000 0.500 0.500 1
S1 S 0.248 0.000 0.750 1
S2 S 0.248 0.166 0.249 1
# Crystal system ... monoclinic
# Raw total energy ... -0.2583 Ha/atom
# Formation energy (no corrections) ... -1.92 eV per atom
# Density ... 7.80 g cm⁻³

[2]
# PmNd3Th2S6, relaxed, DFT PBE
data_PmNd3Th2S6
_chemical_formula_sum 'Pm2 Nd6 Th4 S12'
_cell_length_a 7.019
_cell_length_b 12.119
_cell_length_c 7.040
_cell_angle_alpha 90.00
_cell_angle_beta 109.36
_cell_angle_gamma 90.00
_symmetry_space_group_name_H-M 'C 1 2/m 1'
_symmetry_Int_Tables_number 12
loop_
_symmetry_equiv_pos_as_xyz
'x,y,z'
'-x,-y,-z'
'-x,y,-z'
'x,-y,z'
'x+1/2,y+1/2,z'
'-x+1/2,-y+1/2,-z'
'-x+1/2,y+1/2,-z'
'x+1/2,-y+1/2,z'
loop_
_atom_site_label
_atom_site_type_symbol
_atom_site_fract_x
_atom_site_fract_y
_atom_site_fract_z
_atom_site_occupancy
Pm1 Pm 0.000 0.000 0.000 1
Nd1 Nd 0.000 0.164 0.500 1
Nd2 Nd 0.000 0.500 0.500 1
Th1 Th 0.000 0.333 0.000 1
S1 S 0.248 0.500 0.246 1
S2 S 0.250 0.167 0.249 1
# Crystal system ... monoclinic
# Raw total energy ... -0.2515 Ha/atom
# Formation energy (no corrections) ... -1.95 eV per atom
# Density ... 7.26 g cm⁻³

[3]
# Pm4Nd3ThS8, relaxed, DFT PBE
data_Pm4Nd3ThS8
_chemical_formula_sum 'Pm12 Nd9 Th3 S24'
_cell_length_a 8.0939
_cell_length_b 8.0939
_cell_length_c 19.8443
_cell_angle_alpha 90.00
_cell_angle_beta 90.00
_cell_angle_gamma 120.00
_symmetry_space_group_name_H-M 'R -3 m'
_symmetry_Int_Tables_number 166
_symmetry_space_group_name_Hall '-R 3 2"'
loop_
_atom_site_label
_atom_site_type_symbol
_atom_site_fract_x
_atom_site_fract_y
_atom_site_fract_z
_atom_site_occupancy
Pm1 Pm 0.0000 0.0000 0.0000 1
Pm2 Pm 0.0000 0.5000 0.0000 1
Nd1 Nd 0.0000 0.5000 0.5000 1
Th1 Th 0.0000 0.0000 0.5000 1
S1 S 0.0000 0.0000 0.2511 1
S2 S 0.0019 0.5009 0.2506 1
# Crystal system ... trigonal
# Raw total energy ... -0.2429 Ha/atom
# Formation energy (no corrections) ... -2.00 eV per atom
# Density ... 6.64 g cm⁻³

Which of these has the lowest density? Pm4Nd3ThS8

Among the records above, which one has the highest raw total energy? Pm4Nd3ThS8

Which formula does entry 1 have? PmNd2Th3S6

Among the records above, which one has the lowest raw total energy? PmNd2Th3S6